Below is a relaxed TmGaBi2O6 crystal, with properties calculated at the PBE level.

Unit cell a=5.5736 b=5.9409 c=9.8076 alpha=90.00 beta=124.43 gamma=90.00
Atoms (fractional coordinates):
Tm: 0.0000 0.0000 0.0000
Tm: 0.0000 0.5000 0.5000
Ga: 0.5000 0.0000 0.5000
Ga: 0.5000 0.5000 0.0000
Bi: 0.2342 0.0463 0.7449
Bi: 0.2342 0.4537 0.2449
Bi: 0.7658 0.5463 0.7551
Bi: 0.7658 0.9537 0.2551
O: 0.1450 0.1789 0.4507
O: 0.1450 0.3211 0.9507
O: 0.2685 0.7050 0.4417
O: 0.2685 0.7950 0.9417
O: 0.3771 0.0401 0.2628
O: 0.3771 0.4599 0.7628
O: 0.6229 0.5401 0.2372
O: 0.6229 0.9599 0.7372
O: 0.7315 0.2050 0.0583
O: 0.7315 0.2950 0.5583
O: 0.8550 0.6789 0.0493
O: 0.8550 0.8211 0.5493

Calculated values
**Uncorrected formation energy**: -1.931 eV per atom
**Space group**: P2_1/c (14)
**Total moment**: 0.0 μB/f.u.